# KScMo2Os, optimized geometry, DFT PBE
data_KScMo2Os
_chemical_formula_sum 'K1 Sc1 Mo2 Os1'
_cell_length_a 4.778
_cell_length_b 4.778
_cell_length_c 5.516
_cell_angle_alpha 90.00
_cell_angle_beta 90.00
_cell_angle_gamma 90.00
_symmetry_space_group_name_H-M 'P 4/m m m'
_symmetry_Int_Tables_number 123
_symmetry_space_group_name_Hall '-P 4 2'
loop_
_atom_site_label
_atom_site_type_symbol
_atom_site_fract_x
_atom_site_fract_y
_atom_site_fract_z
_atom_site_occupancy
K1 K 0.000 0.000 0.000 1
Sc1 Sc 0.500 0.500 0.000 1
Mo1 Mo 0.000 0.500 0.500 1
Os1 Os 0.000 0.000 0.500 1
# Crystal system: tetragonal
# Energy, eV/atom: -6.473
# Energy of formation from the pure elements, eV per atom: 1.591

=====

# KMo3P3, optimized geometry, DFT PBE
data_KMo3P3
_chemical_formula_sum 'K2 Mo6 P6'
_cell_length_a 8.929
_cell_length_b 4.362
_cell_length_c 9.364
_cell_angle_alpha 90.00
_cell_angle_beta 117.44
_cell_angle_gamma 90.00
_symmetry_space_group_name_H-M 'P 1 21/m 1'
_symmetry_Int_Tables_number 11
loop_
_symmetry_equiv_pos_as_xyz
'x,y,z'
'-x,-y,-z'
'-x,y+1/2,-z'
'x,-y+1/2,z'
loop_
_atom_site_label
_atom_site_type_symbol
_atom_site_fract_x
_atom_site_fract_y
_atom_site_fract_z
_atom_site_occupancy
K1 K 0.200 0.250 0.382 1
Mo1 Mo 0.283 0.750 0.836 1
Mo2 Mo 0.329 0.250 0.057 1
Mo3 Mo 0.468 0.250 0.850 1
P1 P 0.151 0.250 0.747 1
P2 P 0.222 0.750 0.079 1
P3 P 0.434 0.750 0.672 1
# Crystal system: monoclinic
# Energy, eV/atom: -7.412
# Energy of formation from the pure elements, eV per atom: -0.294

=====

# KMo2P, optimized geometry, DFT PBE
data_KMo2P
_chemical_formula_sum 'K1 Mo2 P1'
_cell_length_a 3.080
_cell_length_b 3.080
_cell_length_c 8.809
_cell_angle_alpha 90.00
_cell_angle_beta 90.00
_cell_angle_gamma 90.00
_symmetry_space_group_name_H-M 'P 4/m m m'
_symmetry_Int_Tables_number 123
_symmetry_space_group_name_Hall '-P 4 2'
loop_
_atom_site_label
_atom_site_type_symbol
_atom_site_fract_x
_atom_site_fract_y
_atom_site_fract_z
_atom_site_occupancy
K1 K 0.000 0.000 0.000 1
Mo1 Mo 0.500 0.500 0.355 1
P1 P 0.000 0.000 0.500 1
# Crystal system: tetragonal
# Energy, eV/atom: -6.542
# Energy of formation from the pure elements, eV per atom: 0.500

=====

# KMo2P, optimized geometry, DFT PBE
data_KMo2P
_chemical_formula_sum 'K1 Mo2 P1'
_cell_length_a 2.789
_cell_length_b 4.493
_cell_length_c 6.931
_cell_angle_alpha 90.00
_cell_angle_beta 93.15
_cell_angle_gamma 90.00
_symmetry_space_group_name_H-M 'P 1 2/m 1'
_symmetry_Int_Tables_number 10
loop_
_symmetry_equiv_pos_as_xyz
'x,y,z'
'-x,-y,-z'
'-x,y,-z'
'x,-y,z'
loop_
_atom_site_label
_atom_site_type_symbol
_atom_site_fract_x
_atom_site_fract_y
_atom_site_fract_z
_atom_site_occupancy
K1 K 0.000 0.000 0.000 1
Mo1 Mo 0.346 0.500 0.341 1
P1 P 0.500 0.000 0.500 1
# Crystal system: monoclinic
# Energy, eV/atom: -6.213
# Energy of formation from the pure elements, eV per atom: 0.829